one:
Density functional theory data (GGA-PBE) for a relaxed structure of La2PrSm3.

a b c (Å): 9.4036 9.4036 7.1212
angles (deg): 100.85 100.85 43.97
Fractional positions:
La (0.1709, 0.1787, 0.0885)
La (0.1787, 0.1709, 0.5885)
La (0.8213, 0.8291, 0.4115)
La (0.8291, 0.8213, 0.9115)
Pr (0.2340, 0.7660, 0.2500)
Pr (0.7660, 0.2340, 0.7500)
Sm (0.2372, 0.7628, 0.7500)
Sm (0.3566, 0.3626, 0.4309)
Sm (0.3626, 0.3566, 0.9309)
Sm (0.6374, 0.6434, 0.0691)
Sm (0.6434, 0.6374, 0.5691)
Sm (0.7628, 0.2372, 0.2500)

Results
- Fermi-level density of states (states/eV/f.u.) = 8.35
- crystal system = monoclinic



two:
Density functional theory data (GGA-PBE) for a relaxed structure of La2PrSm3.

a b c (Å): 10.4237 10.4237 10.4237
angles (deg): 160.40 145.55 39.94
Fractional positions:
La (0.1434, 0.1434, 0.0000)
La (0.8566, 0.8566, 0.0000)
Pr (0.5000, 0.5000, 0.0000)
Sm (0.0000, 0.5000, 0.5000)
Sm (0.3125, 0.3125, 0.0000)
Sm (0.6875, 0.6875, 0.0000)

Results
- Fermi-level density of states (states/eV/f.u.) = 11.43
- crystal system = orthorhombic



Q: What are the energies relative to the best structure? A: one 0.0; two 18.2, in kJ/mol of atoms.



one:
Density functional theory data (GGA-PBE) for a relaxed structure of La7PrSm4.

a b c (Å): 8.8527 8.8527 9.5796
angles (deg): 114.81 114.81 40.74
Fractional positions:
La (0.0000, 0.0000, 0.0000)
La (0.2903, 0.2903, 0.1232)
La (0.2917, 0.2917, 0.7783)
La (0.4170, 0.4170, 0.5606)
La (0.5830, 0.5830, 0.4394)
La (0.7083, 0.7083, 0.2217)
La (0.7097, 0.7097, 0.8768)
Pr (0.5000, 0.5000, 0.0000)
Sm (0.0728, 0.0728, 0.6977)
Sm (0.1716, 0.1716, 0.3934)
Sm (0.8284, 0.8284, 0.6066)
Sm (0.9272, 0.9272, 0.3023)

Results
- Fermi-level density of states (states/eV/f.u.) = 20.64
- crystal system = monoclinic



two:
Density functional theory data (GGA-PBE) for a relaxed structure of La7PrSm4.

a b c (Å): 6.4776 7.4624 9.1873
angles (deg): 90.04 103.60 90.05
Fractional positions:
La (0.0000, 0.0000, 0.0000)
La (0.2225, 0.4989, 0.6672)
La (0.2798, 0.7516, 0.3340)
La (0.4991, 0.7520, 0.9981)
La (0.5009, 0.2480, 0.0019)
La (0.7202, 0.2484, 0.6660)
La (0.7775, 0.5011, 0.3328)
Pr (0.0000, 0.5000, 0.0000)
Sm (0.2212, 0.9998, 0.6671)
Sm (0.2757, 0.2473, 0.3311)
Sm (0.7243, 0.7527, 0.6689)
Sm (0.7788, 0.0002, 0.3329)

Results
- Fermi-level density of states (states/eV/f.u.) = 19.10
- crystal system = triclinic



Q: What are the energies relative to the best structure? A: one 16.7; two 0.0, in kJ/mol of atoms.



one:
Density functional theory data (GGA-PBE) for a relaxed structure of La4Pr5Sm.

a b c (Å): 10.7921 10.7921 6.1398
angles (deg): 90.00 90.00 90.00
Fractional positions:
La (0.0494, 0.7500, 0.1304)
La (0.2500, 0.5494, 0.8696)
La (0.2500, 0.9506, 0.8696)
La (0.4506, 0.7500, 0.1304)
La (0.5494, 0.2500, 0.8696)
La (0.7500, 0.0494, 0.1304)
La (0.7500, 0.4506, 0.1304)
La (0.9506, 0.2500, 0.8696)
Pr (0.0903, 0.0903, 0.3449)
Pr (0.0903, 0.4097, 0.3449)
Pr (0.2500, 0.7500, 0.5000)
Pr (0.4097, 0.0903, 0.3449)
Pr (0.4097, 0.4097, 0.3449)
Pr (0.5903, 0.5903, 0.6551)
Pr (0.5903, 0.9097, 0.6551)
Pr (0.7500, 0.2500, 0.5000)
Pr (0.9097, 0.5903, 0.6551)
Pr (0.9097, 0.9097, 0.6551)
Sm (0.2500, 0.2500, 0.8290)
Sm (0.7500, 0.7500, 0.1710)

Results
- Fermi-level density of states (states/eV/f.u.) = 12.63
- crystal system = tetragonal



two:
Density functional theory data (GGA-PBE) for a relaxed structure of La4Pr5Sm.

a b c (Å): 9.0910 9.0910 11.5037
angles (deg): 90.31 90.31 23.23
Fractional positions:
La (0.0291, 0.0291, 0.2486)
La (0.3446, 0.3446, 0.2508)
La (0.6554, 0.6554, 0.7492)
La (0.9709, 0.9709, 0.7514)
Pr (0.1729, 0.1729, 0.0543)
Pr (0.1735, 0.1735, 0.4427)
Pr (0.5000, 0.5000, 0.5000)
Pr (0.8265, 0.8265, 0.5573)
Pr (0.8271, 0.8271, 0.9457)
Sm (0.5000, 0.5000, 0.0000)

Results
- Fermi-level density of states (states/eV/f.u.) = 16.26
- crystal system = monoclinic



Q: What are the energies relative to the best structure? A: one 0.0; two 2.2, in kJ/mol of atoms.